Record 1
BeAs2O6F after structural relaxation. Source: Alexandria via LeMat-Bulk, functional PBE.

## Properties
- SG: C2/c
- ΔE_f (raw): -117.59 kJ/mol of atoms
- V: 266 Å³/cell
- DFT total energy: -56.83 eV/f.u.

abc: 5.0054 7.6330 7.6330
angles: 95.78 74.56 74.56
Element x y z (fractional)
1 Be 0.2500 0.2419 0.7581
2 Be 0.7500 0.7581 0.2419
3 As 0.3046 0.8132 0.6280
4 As 0.1954 0.3720 0.1868
5 As 0.6954 0.1868 0.3720
6 As 0.8046 0.6280 0.8132
7 O 0.2086 0.0364 0.7226
8 O 0.2914 0.2774 0.9636
9 O 0.7914 0.9636 0.2774
10 O 0.7086 0.7226 0.0364
11 O 0.4662 0.7492 0.4012
12 O 0.0338 0.5988 0.2508
13 O 0.5338 0.2508 0.5988
14 O 0.9662 0.4012 0.7492
15 O 0.9804 0.7507 0.6576
16 O 0.5196 0.3424 0.2493
17 O 0.0196 0.2493 0.3424
18 O 0.4804 0.6576 0.7507
19 F 0.2500 0.8972 0.1028
20 F 0.7500 0.1028 0.8972

Record 2
CdIn5Pd8 after structural relaxation. Source: Alexandria via LeMat-Bulk, functional PBE.

## Properties
- Density of states at the Fermi level: 6.114 states/eV per cell
- SG: I-4
- Formation energy from the elements: -5.56 eV per formula unit
- V: 259 Å³/cell
- DFT total energy: -61.71 eV/f.u.

abc: 6.9550 6.9550 6.9550
angles: 109.79 108.83 109.79
Element x y z (fractional)
1 Cd 0.2500 0.5000 0.7500
2 In 0.0222 0.3579 0.1282
3 In 0.8718 0.8939 0.2297
4 In 0.7703 0.6421 0.6642
5 In 0.5000 0.0000 0.5000
6 In 0.3358 0.1061 0.9778
7 Pd 0.1368 0.7402 0.0577
8 Pd 0.9423 0.0791 0.6825
9 Pd 0.7591 0.2585 0.3532
10 Pd 0.6468 0.4059 0.9053
11 Pd 0.4994 0.5941 0.2409
12 Pd 0.6034 0.9209 0.8632
13 Pd 0.3175 0.2598 0.3966
14 Pd 0.0947 0.7415 0.5006

Record 3
TaTeRh2 after structural relaxation. Source: Alexandria via LeMat-Bulk, functional PBE.

## Properties
- Density of states at the Fermi level: 4.760 states/eV per cell
- SG: R3m
- ΔE_f (raw): 14.95 kJ/mol of atoms
- V: 71 Å³/cell
- DFT total energy: -29.08 eV/f.u.

abc: 8.7662 8.7662 8.7662
angles: 20.30 20.30 20.30
Element x y z (fractional)
1 Ta 0.5050 0.5050 0.5050
2 Te 0.7463 0.7463 0.7463
3 Rh 0.0016 0.0016 0.0016
4 Rh 0.2471 0.2471 0.2471

Record 4
GeTe2MoRu after structural relaxation. Source: Alexandria via LeMat-Bulk, functional PBE.

## Properties
- Density of states at the Fermi level: 6.345 states/eV per cell
- SG: P4/mmm
- ΔE_f (raw): 112.49 kJ/mol of atoms
- V: 134 Å³/cell
- DFT total energy: -25.18 eV/f.u.

abc: 5.2647 4.8258 5.2647
angles: 90.00 90.00 90.00
Element x y z (fractional)
1 Ru 0.5000 0.5000 0.5000
2 Mo 0.0000 0.0000 0.0000
3 Te 0.0000 0.0000 0.5000
4 Te 0.5000 0.0000 0.0000
5 Ge 0.0000 0.5000 0.0000

Record 5
LiNpPt2 after structural relaxation. Source: Alexandria via LeMat-Bulk, functional PBE.

## Properties
- Density of states at the Fermi level: 8.895 states/eV per cell
- SG: P4/mmm
- Formation energy from the elements: -2.18 eV per formula unit
- V: 70 Å³/cell
- DFT total energy: -29.12 eV/f.u.

abc: 3.2906 3.2906 6.4259
angles: 90.00 90.00 90.00
Element x y z (fractional)
1 Np 0.5000 0.5000 0.5000
2 Pt 0.0000 0.0000 0.7808
3 Pt 0.0000 0.0000 0.2192
4 Li 0.5000 0.5000 0.0000

Record 6
CaRe after structural relaxation. Source: Alexandria via LeMat-Bulk, functional PBE.

## Properties
- Density of states at the Fermi level: 9.898 states/eV per cell
- SG: Cmmm
- Formation energy from the elements: 1.04 eV per formula unit
- Energy above the most stable polymorph in this dataset: 0.219 eV/atom
- V: 266 Å³/cell
- DFT total energy: -13.41 eV/f.u.

abc: 5.2428 15.8550 3.2054
angles: 90.00 90.00 90.00
Element x y z (fractional)
1 Ca 0.0000 0.8089 0.5000
2 Ca 0.0000 0.1911 0.5000
3 Ca 0.5000 0.3089 0.5000
4 Ca 0.5000 0.6911 0.5000
5 Ca 0.0000 0.0000 0.0000
6 Ca 0.5000 0.5000 0.0000
7 Re 0.0000 0.3778 0.0000
8 Re 0.0000 0.6222 0.0000
9 Re 0.5000 0.8778 0.0000
10 Re 0.5000 0.1222 0.0000
11 Re 0.5000 0.0000 0.5000
12 Re 0.0000 0.5000 0.5000

Record 7
MnAsHPd2 after structural relaxation. Source: Alexandria via LeMat-Bulk, functional PBE.

## Properties
- Density of states at the Fermi level: 2.791 states/eV per cell
- SG: P4/mmm
- V: 65 Å³/cell
- DFT total energy: -28.16 eV/f.u.

abc: 3.9568 3.9568 4.1378
angles: 90.00 90.00 90.00
Element x y z (fractional)
1 H 0.0000 0.0000 0.0000
2 As 0.5000 0.5000 0.5000
3 Mn 0.0000 0.0000 0.5000
4 Pd 0.0000 0.5000 0.0000
5 Pd 0.5000 0.0000 0.0000

Record 8
Na2AgSnI5 after structural relaxation. Source: Alexandria via LeMat-Bulk, functional PBE.

## Properties
- Density of states at the Fermi level: 0.000 states/eV per cell
- SG: Cmc2_1
- ΔE_f (raw): -73.47 kJ/mol of atoms
- V: 746 Å³/cell
- DFT total energy: -24.10 eV/f.u.

abc: 4.5902 10.3852 16.0489
angles: 90.00 90.00 102.77
Element x y z (fractional)
1 Na 0.9609 0.9217 0.8889
2 Na 0.0810 0.1620 0.6504
3 Na 0.0391 0.0783 0.3889
4 Na 0.9190 0.8380 0.1504
5 Ag 0.6083 0.2166 0.9208
6 Ag 0.3917 0.7834 0.4208
7 Sn 0.7537 0.5075 0.5213
8 Sn 0.2463 0.4925 0.0213
9 I 0.4001 0.8002 0.0066
10 I 0.7450 0.4901 0.8794
11 I 0.5240 0.0480 0.7747
12 I 0.2383 0.4766 0.6573
13 I 0.9209 0.8418 0.5246
14 I 0.5999 0.1998 0.5066
15 I 0.2550 0.5099 0.3794
16 I 0.4760 0.9520 0.2747
17 I 0.7617 0.5234 0.1573
18 I 0.0791 0.1582 0.0246

Record 9
Sn2B2Os after structural relaxation. Source: Alexandria via LeMat-Bulk, functional PBE.

## Properties
- Density of states at the Fermi level: 6.622 states/eV per cell
- SG: P4/mbm
- Formation energy from the elements: 7.87 eV per formula unit
- Energy above the most stable polymorph in this dataset: 0.568 eV/atom
- V: 159 Å³/cell
- DFT total energy: -24.72 eV/f.u.

abc: 6.9506 6.9506 3.2871
angles: 90.00 90.00 90.00
Element x y z (fractional)
1 B 0.1678 0.6678 0.5000
2 B 0.6678 0.8322 0.5000
3 B 0.8322 0.3322 0.5000
4 B 0.3322 0.1678 0.5000
5 Os 0.0000 0.0000 0.0000
6 Os 0.5000 0.5000 0.0000
7 Sn 0.3544 0.8544 0.0000
8 Sn 0.8544 0.6456 0.0000
9 Sn 0.6456 0.1456 0.0000
10 Sn 0.1456 0.3544 0.0000

Record 10
ThPd6Au after structural relaxation. Source: Alexandria via LeMat-Bulk, functional PBE.

## Properties
- Density of states at the Fermi level: 2.710 states/eV per cell
- SG: C2/m
- Formation energy from the elements: -2.05 eV per formula unit
- Energy above the most stable polymorph in this dataset: 0.302 eV/atom
- V: 157 Å³/cell
- DFT total energy: -43.91 eV/f.u.

abc: 4.9671 4.9671 7.2959
angles: 76.04 76.04 65.82
Element x y z (fractional)
1 Th 0.5000 0.5000 0.5000
2 Pd 0.0554 0.5440 0.2988
3 Pd 0.5440 0.0554 0.2988
4 Pd 0.4560 0.9446 0.7012
5 Pd 0.9446 0.4560 0.7012
6 Pd 0.3580 0.3580 0.9405
7 Pd 0.6420 0.6420 0.0595
8 Au 0.0000 0.0000 0.0000

Record 11
Zn9IrRh2 after structural relaxation. Source: Alexandria via LeMat-Bulk, functional PBE.

## Properties
- Density of states at the Fermi level: 4.820 states/eV per cell
- SG: P-1
- Formation energy from the elements: -2.62 eV per formula unit
- V: 171 Å³/cell
- DFT total energy: -37.65 eV/f.u.

abc: 4.8650 4.6074 8.1133
angles: 108.02 94.90 83.01
Element x y z (fractional)
1 Zn 0.2377 0.4244 0.9196
2 Zn 0.7623 0.5756 0.0804
3 Zn 0.5000 0.5000 0.5000
4 Zn 0.4936 0.8424 0.8368
5 Zn 0.7544 0.2292 0.7387
6 Zn 0.0080 0.6739 0.6618
7 Zn 0.5064 0.1576 0.1632
8 Zn 0.9920 0.3261 0.3382
9 Zn 0.2456 0.7708 0.2613
10 Ir 0.0000 0.0000 0.0000
11 Rh 0.2534 0.1054 0.5974
12 Rh 0.7466 0.8946 0.4026

Record 12
Sc2NbCrSb after structural relaxation. Source: Alexandria via LeMat-Bulk, functional PBE.

## Properties
- Density of states at the Fermi level: 4.996 states/eV per cell
- SG: P4/mmm
- ΔE_f (raw): 91.49 kJ/mol of atoms
- V: 136 Å³/cell
- DFT total energy: -31.74 eV/f.u.

abc: 5.2886 5.2886 4.8730
angles: 90.00 90.00 90.00
Element x y z (fractional)
1 Sc 0.0000 0.5000 0.0000
2 Sc 0.5000 0.0000 0.0000
3 Sb 0.0000 0.0000 0.0000
4 Nb 0.5000 0.5000 0.5000
5 Cr 0.0000 0.0000 0.5000